Material: Na3WI2F6
Method: DFT, PBE+U
State: relaxed

Cell: 8.620 8.620 5.154 Å, 90.20 90.20 48.76°
Sites, in units of the cell vectors:
Na1 0.000 0.000 0.000
Na2 0.000 0.500 0.500
Na3 0.500 0.000 0.500
W1 0.500 0.500 0.500
I1 0.190 0.190 0.021
I2 0.810 0.810 0.979
F1 0.290 0.694 0.252
F2 0.306 0.710 0.748
F3 0.374 0.374 0.524
F4 0.626 0.626 0.476
F5 0.694 0.290 0.252
F6 0.710 0.306 0.748

Fermi-level density of states (states/eV/cell): 0.00
Mass density (Mg/m³): 3.579
Total DFT energy (no corrections) (eV per cell): -52.18
Calculated volume (Å³ per cell): 288.0
Magnetization (μB/f.u.): 0.999
Space-group type: No. 12